No. 1
# Lu2RuPb | Alexandria via LeMat-Bulk | PBE | optimized geometry
# * relative energy among the computed polymorphs: 0 kJ/mol of formula units
# * crystal system: tetragonal
# * energy: -6.031 eV per atom
# * magnetic moment: 0.0 μB/f.u.
data_Lu2RuPb
_chemical_formula_sum 'Lu2 Ru1 Pb1'
_cell_length_a 3.385
_cell_length_b 3.385
_cell_length_c 8.016
_cell_angle_alpha 90.00
_cell_angle_beta 90.00
_cell_angle_gamma 90.00
_space_group_name_H-M_alt 'P 1'
_space_group_IT_number 1
_space_group_name_Hall 'P 1'
loop_
_atom_site_label
_atom_site_type_symbol
_atom_site_fract_x
_atom_site_fract_y
_atom_site_fract_z
_atom_site_occupancy
Lu1 Lu 0.000 0.000 0.201 1
Lu2 Lu 0.000 0.000 0.799 1
Ru1 Ru 0.500 0.500 0.000 1
Pb1 Pb 0.500 0.500 0.500 1

No. 2
# Lu2RuPb | Alexandria via LeMat-Bulk | PBE | optimized geometry
# * relative energy among the computed polymorphs: 87 kJ/mol of formula units
# * crystal system: tetragonal
# * energy: -5.806 eV per atom
# * magnetic moment: 0.0 μB/f.u.
data_Lu2RuPb
_chemical_formula_sum 'Lu2 Ru1 Pb1'
_cell_length_a 4.925
_cell_length_b 4.925
_cell_length_c 3.682
_cell_angle_alpha 90.00
_cell_angle_beta 90.00
_cell_angle_gamma 90.00
_space_group_name_H-M_alt 'P 1'
_space_group_IT_number 1
_space_group_name_Hall 'P 1'
loop_
_atom_site_label
_atom_site_type_symbol
_atom_site_fract_x
_atom_site_fract_y
_atom_site_fract_z
_atom_site_occupancy
Lu1 Lu 0.000 0.500 0.000 1
Lu2 Lu 0.500 0.000 0.000 1
Ru1 Ru 0.000 0.000 0.500 1
Pb1 Pb 0.500 0.500 0.500 1

No. 3
# Lu2RuPb | Alexandria via LeMat-Bulk | PBE | optimized geometry
# * relative energy among the computed polymorphs: 146 kJ/mol of formula units
# * crystal system: cubic
# * energy: -5.654 eV per atom
# * magnetic moment: 0.0 μB/f.u.
data_Lu2RuPb
_chemical_formula_sum 'Lu2 Ru1 Pb1'
_cell_length_a 5.016
_cell_length_b 5.016
_cell_length_c 5.016
_cell_angle_alpha 60.00
_cell_angle_beta 60.00
_cell_angle_gamma 60.00
_space_group_name_H-M_alt 'P 1'
_space_group_IT_number 1
_space_group_name_Hall 'P 1'
loop_
_atom_site_label
_atom_site_type_symbol
_atom_site_fract_x
_atom_site_fract_y
_atom_site_fract_z
_atom_site_occupancy
Lu1 Lu 0.250 0.250 0.250 1
Lu2 Lu 0.750 0.750 0.750 1
Ru1 Ru 0.000 0.000 0.000 1
Pb1 Pb 0.500 0.500 0.500 1

No. 4
# Lu2RuPb | Alexandria via LeMat-Bulk | PBE | optimized geometry
# * relative energy among the computed polymorphs: 84 kJ/mol of formula units
# * crystal system: trigonal
# * energy: -5.815 eV per atom
# * magnetic moment: 0.0 μB/f.u.
data_Lu2RuPb
_chemical_formula_sum 'Lu2 Ru1 Pb1'
_cell_length_a 9.303
_cell_length_b 9.303
_cell_length_c 9.303
_cell_angle_alpha 21.72
_cell_angle_beta 21.72
_cell_angle_gamma 21.72
_space_group_name_H-M_alt 'P 1'
_space_group_IT_number 1
_space_group_name_Hall 'P 1'
loop_
_atom_site_label
_atom_site_type_symbol
_atom_site_fract_x
_atom_site_fract_y
_atom_site_fract_z
_atom_site_occupancy
Lu1 Lu 0.235 0.235 0.235 1
Lu2 Lu 0.765 0.765 0.765 1
Ru1 Ru 0.500 0.500 0.500 1
Pb1 Pb 0.000 0.000 0.000 1

No. 5
# LuRu2Pb | Alexandria via LeMat-Bulk | PBE | optimized geometry
# * crystal system: tetragonal
# * energy: -6.760 eV per atom
# * magnetic moment: 0.0 μB/f.u.
data_LuRu2Pb
_chemical_formula_sum 'Lu1 Ru2 Pb1'
_cell_length_a 3.358
_cell_length_b 3.358
_cell_length_c 6.534
_cell_angle_alpha 90.00
_cell_angle_beta 90.00
_cell_angle_gamma 90.00
_space_group_name_H-M_alt 'P 1'
_space_group_IT_number 1
_space_group_name_Hall 'P 1'
loop_
_atom_site_label
_atom_site_type_symbol
_atom_site_fract_x
_atom_site_fract_y
_atom_site_fract_z
_atom_site_occupancy
Lu1 Lu 0.000 0.000 0.000 1
Ru1 Ru 0.500 0.500 0.259 1
Ru2 Ru 0.500 0.500 0.741 1
Pb1 Pb 0.000 0.000 0.500 1

No. 6
# LuScRuPb | Alexandria via LeMat-Bulk | PBE | optimized geometry
# * crystal system: cubic
# * energy: -6.261 eV per atom
# * magnetic moment: 0.0 μB/f.u.
data_LuScRuPb
_chemical_formula_sum 'Lu1 Sc1 Ru1 Pb1'
_cell_length_a 4.930
_cell_length_b 4.930
_cell_length_c 4.930
_cell_angle_alpha 60.00
_cell_angle_beta 60.00
_cell_angle_gamma 60.00
_space_group_name_H-M_alt 'P 1'
_space_group_IT_number 1
_space_group_name_Hall 'P 1'
loop_
_atom_site_label
_atom_site_type_symbol
_atom_site_fract_x
_atom_site_fract_y
_atom_site_fract_z
_atom_site_occupancy
Lu1 Lu 0.000 0.000 0.000 1
Sc1 Sc 0.500 0.500 0.500 1
Ru1 Ru 0.750 0.750 0.750 1
Pb1 Pb 0.250 0.250 0.250 1

No. 7
# TbLuRuPb | Alexandria via LeMat-Bulk | PBE | optimized geometry
# * crystal system: cubic
# * energy: -5.806 eV per atom
# * magnetic moment: 0.0 μB/f.u.
data_TbLuRuPb
_chemical_formula_sum 'Tb1 Lu1 Ru1 Pb1'
_cell_length_a 5.080
_cell_length_b 5.080
_cell_length_c 5.080
_cell_angle_alpha 60.00
_cell_angle_beta 60.00
_cell_angle_gamma 60.00
_space_group_name_H-M_alt 'P 1'
_space_group_IT_number 1
_space_group_name_Hall 'P 1'
loop_
_atom_site_label
_atom_site_type_symbol
_atom_site_fract_x
_atom_site_fract_y
_atom_site_fract_z
_atom_site_occupancy
Tb1 Tb 0.000 0.000 0.000 1
Lu1 Lu 0.500 0.500 0.500 1
Ru1 Ru 0.250 0.250 0.250 1
Pb1 Pb 0.750 0.750 0.750 1

No. 8
# TmLuRuPb | Alexandria via LeMat-Bulk | PBE | optimized geometry
# * crystal system: cubic
# * energy: -5.785 eV per atom
# * magnetic moment: 0.0 μB/f.u.
data_TmLuRuPb
_chemical_formula_sum 'Tm1 Lu1 Ru1 Pb1'
_cell_length_a 5.034
_cell_length_b 5.034
_cell_length_c 5.034
_cell_angle_alpha 60.00
_cell_angle_beta 60.00
_cell_angle_gamma 60.00
_space_group_name_H-M_alt 'P 1'
_space_group_IT_number 1
_space_group_name_Hall 'P 1'
loop_
_atom_site_label
_atom_site_type_symbol
_atom_site_fract_x
_atom_site_fract_y
_atom_site_fract_z
_atom_site_occupancy
Tm1 Tm 0.000 0.000 0.000 1
Lu1 Lu 0.500 0.500 0.500 1
Ru1 Ru 0.250 0.250 0.250 1
Pb1 Pb 0.750 0.750 0.750 1

| no. | V (Å³ per cell) |
| --- | --- |
| 1 | 92 |
| 2 | 89 |
| 3 | 89 |
| 4 | 97 |
| 5 | 74 |
| 6 | 85 |
| 7 | 93 |
| 8 | 90 |